## TbTmOs (PBE)

Data for a geometry-optimized TbTmOs structure.

Cell lengths 5.397, 5.397, 7.980 Å; angles 90.00, 90.00, 120.00 degrees
Atoms (fractional coordinates):
1 Tb 0.983 0.491 0.500
2 Tb 0.509 0.017 0.833
3 Tb 0.509 0.491 0.167
4 Tm 0.702 0.851 0.500
5 Tm 0.149 0.298 0.833
6 Tm 0.149 0.851 0.167
7 Os 0.341 0.170 0.500
8 Os 0.830 0.659 0.833
9 Os 0.830 0.170 0.167

Computed properties:
* calculated formation energy: 0.09 eV per atom
* total magnetic moment: 0.000 μB per atom
* offset from the most stable computed form: 343 meV/atom
* total DFT energy (no corrections): -6.69 eV per atom

## Sm2ZnSi4Pt3 (PBE)

Data for a geometry-optimized Sm2ZnSi4Pt3 structure.

Cell lengths 4.211, 4.211, 10.029 Å; angles 90.00, 90.00, 90.00 degrees
Atoms (fractional coordinates):
1 Sm 0.500 0.000 0.248
2 Sm 0.000 0.500 0.752
3 Zn 0.500 0.500 0.500
4 Si 0.500 0.500 0.000
5 Si 0.000 0.000 0.000
6 Si 0.500 0.000 0.638
7 Si 0.000 0.500 0.362
8 Pt 0.000 0.000 0.500
9 Pt 0.500 0.000 0.879
10 Pt 0.000 0.500 0.121

Computed properties:
* total magnetic moment: 0.000 μB per atom
* ΔE_f (raw): -0.987 eV per atom
* total DFT energy (no corrections): -6.04 eV per atom

## IrAu3N (PBE)

Data for a geometry-optimized IrAu3N structure.

Cell lengths 4.294, 4.294, 4.294 Å; angles 90.00, 90.00, 90.00 degrees
Atoms (fractional coordinates):
1 Ir 0.500 0.500 0.500
2 Au 0.000 0.500 0.000
3 Au 0.000 0.000 0.500
4 Au 0.500 0.000 0.000
5 N 0.000 0.000 0.000

Computed properties:
* total magnetic moment: 0.000 μB per atom
* offset from the most stable computed form: 0 meV/atom
* ΔE_f (raw): 1.118 eV per atom
* total DFT energy (no corrections): -4.29 eV per atom

## InWAu2 (PBE)

Data for a geometry-optimized InWAu2 structure.

Cell lengths 4.709, 4.709, 4.709 Å; angles 60.00, 60.00, 60.00 degrees
Atoms (fractional coordinates):
1 Au 0.000 0.000 0.000
2 Au 0.250 0.250 0.250
3 In 0.500 0.500 0.500
4 W 0.750 0.750 0.750

Computed properties:
* calculated formation energy: 0.60 eV per atom
* total magnetic moment: 0.429 μB per atom
* total DFT energy (no corrections): -4.96 eV per atom